[1]
## PmGdCoGe (PBE)

Data for crystalline PmGdCoGe at its relaxed geometry.

Calculated values
E = -7.97 eV per atom
D(E_F) = 8.964 states/eV per cell
DFT formation energy = -332.6 meV per atom

a = 7.084 Å, b = 7.084 Å, c = 7.084 Å
α = 90.00°, β = 90.00°, γ = 90.00°
Fractional coordinates of all 16 atoms:
Pm (0.000, 0.000, 0.000)
Pm (0.000, 0.500, 0.500)
Pm (0.500, 0.000, 0.500)
Pm (0.500, 0.500, 0.000)
Gd (0.000, 0.000, 0.500)
Gd (0.000, 0.500, 0.000)
Gd (0.500, 0.000, 0.000)
Gd (0.500, 0.500, 0.500)
Co (0.250, 0.250, 0.750)
Co (0.250, 0.750, 0.250)
Co (0.750, 0.250, 0.250)
Co (0.750, 0.750, 0.750)
Ge (0.250, 0.250, 0.250)
Ge (0.250, 0.750, 0.750)
Ge (0.750, 0.250, 0.750)
Ge (0.750, 0.750, 0.250)

[2]
## TbGdCoGe (PBE)

Data for crystalline TbGdCoGe at its relaxed geometry.

Calculated values
E = -7.98 eV per atom
D(E_F) = 9.012 states/eV per cell
DFT formation energy = -373.9 meV per atom

a = 6.995 Å, b = 6.995 Å, c = 6.995 Å
α = 90.00°, β = 90.00°, γ = 90.00°
Fractional coordinates of all 16 atoms:
Tb (0.000, 0.000, 0.000)
Tb (0.000, 0.500, 0.500)
Tb (0.500, 0.000, 0.500)
Tb (0.500, 0.500, 0.000)
Gd (0.000, 0.000, 0.500)
Gd (0.000, 0.500, 0.000)
Gd (0.500, 0.000, 0.000)
Gd (0.500, 0.500, 0.500)
Co (0.250, 0.250, 0.750)
Co (0.250, 0.750, 0.250)
Co (0.750, 0.250, 0.250)
Co (0.750, 0.750, 0.750)
Ge (0.250, 0.250, 0.250)
Ge (0.250, 0.750, 0.750)
Ge (0.750, 0.250, 0.750)
Ge (0.750, 0.750, 0.250)

[3]
## GdYCoGe (PBE)

Data for crystalline GdYCoGe at its relaxed geometry.

Calculated values
E = -8.47 eV per atom
D(E_F) = 6.287 states/eV per cell
DFT formation energy = -399.0 meV per atom

a = 6.994 Å, b = 6.994 Å, c = 6.994 Å
α = 90.00°, β = 90.00°, γ = 90.00°
Fractional coordinates of all 16 atoms:
Gd (0.000, 0.000, 0.000)
Gd (0.000, 0.500, 0.500)
Gd (0.500, 0.000, 0.500)
Gd (0.500, 0.500, 0.000)
Y (0.000, 0.000, 0.500)
Y (0.000, 0.500, 0.000)
Y (0.500, 0.000, 0.000)
Y (0.500, 0.500, 0.500)
Co (0.250, 0.250, 0.750)
Co (0.250, 0.750, 0.250)
Co (0.750, 0.250, 0.250)
Co (0.750, 0.750, 0.750)
Ge (0.250, 0.250, 0.250)
Ge (0.250, 0.750, 0.750)
Ge (0.750, 0.250, 0.750)
Ge (0.750, 0.750, 0.250)

[4]
## GdCoH3 (PBE)

Data for crystalline GdCoH3 at its relaxed geometry.

Calculated values
E = -6.72 eV per atom
D(E_F) = 1.203 states/eV per cell

a = 3.522 Å, b = 3.522 Å, c = 3.522 Å
α = 90.00°, β = 90.00°, γ = 90.00°
Fractional coordinates of all 5 atoms:
Gd (0.000, 0.000, 0.000)
Co (0.500, 0.500, 0.500)
H (0.000, 0.500, 0.500)
H (0.500, 0.000, 0.500)
H (0.500, 0.500, 0.000)

[5]
## Gd2CoH (PBE)

Data for crystalline Gd2CoH at its relaxed geometry.

Calculated values
E = -9.71 eV per atom
D(E_F) = 2.818 states/eV per cell
energy relative to the lowest polymorph listed for this composition = 0.160 eV/atom

a = 3.202 Å, b = 3.202 Å, c = 6.935 Å
α = 90.00°, β = 90.00°, γ = 90.00°
Fractional coordinates of all 4 atoms:
Gd (0.000, 0.000, 0.250)
Gd (0.000, 0.000, 0.750)
Co (0.500, 0.500, 0.000)
H (0.500, 0.500, 0.500)

[6]
## Gd2CoH4 (PBE)

Data for crystalline Gd2CoH4 at its relaxed geometry.

Calculated values
E = -7.37 eV per atom
D(E_F) = 6.319 states/eV per cell

a = 3.519 Å, b = 3.519 Å, c = 12.518 Å
α = 90.00°, β = 90.00°, γ = 90.00°
Fractional coordinates of all 14 atoms:
Gd (0.000, 0.000, 0.142)
Gd (0.000, 0.000, 0.858)
Gd (0.500, 0.500, 0.358)
Gd (0.500, 0.500, 0.642)
Co (0.000, 0.000, 0.500)
Co (0.500, 0.500, 0.000)
H (0.000, 0.000, 0.363)
H (0.000, 0.000, 0.637)
H (0.000, 0.500, 0.000)
H (0.000, 0.500, 0.500)
H (0.500, 0.000, 0.000)
H (0.500, 0.000, 0.500)
H (0.500, 0.500, 0.137)
H (0.500, 0.500, 0.863)